No. 1
Tb3Be2GePt9 | PBE-GGA | relaxed

Output
Magnetic moment ... 0.0 Bohr magnetons per cell
Energy relative to the elements ... -831 meV per atom

a b c (Å): 5.7644 5.7644 9.3649
angles (deg): 90.00 90.00 120.00
Space group P-3m1 (No. 164)
Unique sites:
1 Tb 0.0000 0.0000 0.0000 [1 per cell]
2 Tb 0.3333 0.6667 0.6095 [2 per cell]
3 Be 0.3333 0.6667 0.1507 [2 per cell]
4 Ge 0.0000 0.0000 0.5000 [1 per cell]
5 Pt 0.0000 0.5000 0.0000 [3 per cell]
6 Pt 0.1648 0.3296 0.3000 [6 per cell]

No. 2
LiTl2N | PBE-GGA | relaxed

Output
Magnetic moment ... 0.0 Bohr magnetons per cell
Energy relative to the elements, uncorrected ... 0.718 eV/atom

a b c (Å): 6.751 6.751 6.751
angles (deg): 90.00 90.00 90.00
Space group Fm-3m (No. 225)
Unique sites:
1 Li 0.000 0.000 0.000 [4 per cell]
2 Tl 0.250 0.250 0.250 [8 per cell]
3 N 0.000 0.000 0.500 [4 per cell]

No. 3
RbIO | PBE-GGA | relaxed

Output
Magnetic moment ... 0.0 Bohr magnetons per cell
Energy relative to the elements, uncorrected ... -0.868 eV/atom

a b c (Å): 8.936 5.164 10.492
angles (deg): 90.00 113.84 90.00
Space group C2/m (No. 12)
Unique sites:
1 Rb 0.101 0.000 0.360 [4 per cell]
2 I 0.166 0.500 0.146 [4 per cell]
3 O 0.237 0.000 0.647 [4 per cell]

No. 4
BaCeMg17 | PBE-GGA | relaxed

Output
Magnetic moment ... 3.6 Bohr magnetons per cell
Energy relative to the elements ... -38 meV per atom

a b c (Å): 10.4455 10.4455 15.3818
angles (deg): 90.00 90.00 120.00
Space group R3m (No. 160, hexagonal axes)
Unique sites:
1 Ba 0.0000 0.0000 0.0000 [3 per cell]
2 Ce 0.0000 0.0000 0.3309 [3 per cell]
3 Mg 0.0000 0.0000 0.5614 [3 per cell]
4 Mg 0.0000 0.0000 0.7588 [3 per cell]
5 Mg 0.0009 0.5005 0.1621 [9 per cell]
6 Mg 0.0383 0.3683 0.3293 [18 per cell]
7 Mg 0.1672 0.3345 0.1482 [9 per cell]
8 Mg 0.1715 0.3429 0.8442 [9 per cell]

No. 5
Be3CrPb | PBE-GGA | relaxed

Output
Magnetic moment ... 0.2 Bohr magnetons per cell
Energy relative to the elements ... 2034 meV per atom

a b c (Å): 4.535 4.535 4.535
angles (deg): 90.00 90.00 90.00
Space group Pm-3m (No. 221)
Unique sites:
1 Be 0.000 0.000 0.500 [3 per cell]
2 Cr 0.500 0.500 0.500 [1 per cell]
3 Pb 0.000 0.000 0.000 [1 per cell]

No. 6
PrDy4Y5 | PBE-GGA | relaxed

Output
Magnetic moment ... 0.0 Bohr magnetons per cell
Energy relative to the elements ... 301 meV per atom

a b c (Å): 10.267 10.267 6.314
angles (deg): 90.00 90.00 90.00
Space group I4 (No. 79)
Unique sites:
1 Pr 0.000 0.000 0.000 [2 per cell]
2 Dy 0.051 0.648 0.232 [8 per cell]
3 Y 0.000 0.000 0.455 [2 per cell]
4 Y 0.147 0.765 0.729 [8 per cell]

No. 7
K2SrBeP2 | PBE-GGA | relaxed

Output
Magnetic moment ... 0.0 Bohr magnetons per cell
Energy relative to the elements ... -428 meV per atom

a b c (Å): 6.981 14.057 6.734
angles (deg): 90.00 90.00 90.00
Space group Ibam (No. 72)
Unique sites:
1 K 0.194 0.185 0.000 [8 per cell]
2 Sr 0.000 0.500 0.250 [4 per cell]
3 Be 0.000 0.000 0.250 [4 per cell]
4 P 0.186 0.076 0.500 [8 per cell]

No. 8
CsBaHf2 | PBE-GGA | relaxed

Output
Magnetic moment ... 0.0 Bohr magnetons per cell
Energy relative to the elements ... 1530 meV per atom

a b c (Å): 8.146 8.146 8.146
angles (deg): 90.00 90.00 90.00
Space group Fm-3m (No. 225)
Unique sites:
1 Cs 0.000 0.000 0.000 [4 per cell]
2 Ba 0.000 0.000 0.500 [4 per cell]
3 Hf 0.250 0.250 0.250 [8 per cell]

No. 9
Sm5HgIr4 | PBE-GGA | relaxed

Output
Magnetic moment ... 0.0 Bohr magnetons per cell
Energy relative to the elements ... -628 meV per atom

a b c (Å): 3.563 3.563 17.882
angles (deg): 90.00 90.00 90.00
Space group P4/mmm (No. 123)
Unique sites:
1 Sm 0.000 0.000 0.000 [1 per cell]
2 Sm 0.000 0.000 0.191 [2 per cell]
3 Sm 0.000 0.000 0.380 [2 per cell]
4 Hg 0.500 0.500 0.500 [1 per cell]
5 Ir 0.500 0.500 0.097 [2 per cell]
6 Ir 0.500 0.500 0.290 [2 per cell]

No. 10
ZrInPO2 | PBE-GGA | relaxed

Output
Magnetic moment ... 0.0 Bohr magnetons per cell
Energy relative to the elements, uncorrected ... -0.558 eV/atom

a b c (Å): 4.034 4.034 5.160
angles (deg): 90.00 90.00 90.00
Space group P4/mmm (No. 123)
Unique sites:
1 Zr 0.000 0.000 0.000 [1 per cell]
2 In 0.500 0.500 0.500 [1 per cell]
3 P 0.500 0.500 0.000 [1 per cell]
4 O 0.000 0.500 0.500 [2 per cell]

No. 11
LiBe2Re | PBE-GGA | relaxed

Output
Magnetic moment ... 0.0 Bohr magnetons per cell
Energy relative to the elements ... 70 meV per atom

a b c (Å): 8.770 2.524 4.265
angles (deg): 90.00 107.79 90.00
Space group Cm (No. 8)
Unique sites:
1 Li 0.000 0.000 0.000 [2 per cell]
2 Be 0.040 0.500 0.511 [2 per cell]
3 Be 0.252 0.000 0.851 [2 per cell]
4 Re 0.285 0.500 0.373 [2 per cell]

No. 12
Tl3AsPb | PBE-GGA | relaxed

Output
Magnetic moment ... 0.0 Bohr magnetons per cell
Energy relative to the elements ... 361 meV per atom

a b c (Å): 5.537 5.537 5.537
angles (deg): 90.00 90.00 90.00
Space group Pm-3m (No. 221)
Unique sites:
1 Tl 0.000 0.000 0.500 [3 per cell]
2 As 0.000 0.000 0.000 [1 per cell]
3 Pb 0.500 0.500 0.500 [1 per cell]

No. 13
Ho2PuTl3 | PBE-GGA | relaxed

Output
Magnetic moment ... 5.4 Bohr magnetons per cell
Energy relative to the elements ... -211 meV per atom

a b c (Å): 3.458 3.458 13.530
angles (deg): 90.00 90.00 90.00
Space group P4/mmm (No. 123)
Unique sites:
1 Ho 0.000 0.000 0.163 [2 per cell]
2 Pu 0.000 0.000 0.500 [1 per cell]
3 Tl 0.500 0.500 0.000 [1 per cell]
4 Tl 0.500 0.500 0.328 [2 per cell]

No. 14
PmIn6 | PBE-GGA | relaxed

Output
Magnetic moment ... 0.0 Bohr magnetons per cell
Energy relative to the elements ... 401 meV per atom

a b c (Å): 7.931 7.931 7.931
angles (deg): 90.00 90.00 90.00
Space group Im-3m (No. 229)
Unique sites:
1 Pm 0.000 0.000 0.000 [2 per cell]
2 In 0.000 0.250 0.500 [12 per cell]

No. 15
PmPuHgAu | PBE-GGA | relaxed

Output
Magnetic moment ... 23.8 Bohr magnetons per cell
Energy relative to the elements ... -401 meV per atom

a b c (Å): 7.463 7.463 7.463
angles (deg): 90.00 90.00 90.00
Space group F-43m (No. 216)
Unique sites:
1 Pm 0.000 0.000 0.000 [4 per cell]
2 Pu 0.000 0.000 0.500 [4 per cell]
3 Hg 0.250 0.250 0.750 [4 per cell]
4 Au 0.250 0.250 0.250 [4 per cell]

No. 16
SmDyTh2 | PBE-GGA | relaxed

Output
Magnetic moment ... 0.0 Bohr magnetons per cell
Energy relative to the elements ... 273 meV per atom

a b c (Å): 8.870 17.703 3.541
angles (deg): 90.00 98.92 90.00
Space group C2/c (No. 15)
Unique sites:
1 Sm 0.250 0.250 0.000 [4 per cell]
2 Dy 0.000 0.086 0.750 [4 per cell]
3 Th 0.162 0.417 0.545 [8 per cell]

No. 17
HoMnCoB2 | PBE-GGA | relaxed

Output
Magnetic moment ... 3.7 Bohr magnetons per cell
Energy relative to the elements ... -461 meV per atom

a b c (Å): 3.545 3.545 9.492
angles (deg): 90.00 90.00 90.00
Space group I-4m2 (No. 119)
Unique sites:
1 Ho 0.000 0.000 0.000 [2 per cell]
2 Mn 0.000 0.500 0.750 [2 per cell]
3 Co 0.000 0.500 0.250 [2 per cell]
4 B 0.000 0.000 0.362 [4 per cell]

No. 18
RbSnB | PBE-GGA | relaxed

Output
Magnetic moment ... 0.0 Bohr magnetons per cell
Energy relative to the elements ... 554 meV per atom

a b c (Å): 4.058 19.988 4.838
angles (deg): 90.00 90.00 90.00
Space group Cmcm (No. 63)
Unique sites:
1 Rb 0.000 0.108 0.250 [4 per cell]
2 Sn 0.000 0.298 0.250 [4 per cell]
3 B 0.000 0.264 0.750 [4 per cell]

No. 19
SrThRuN3 | PBE-GGA | relaxed

Output
Magnetic moment ... 0.0 Bohr magnetons per cell
Energy relative to the elements, uncorrected ... -0.743 eV/atom

a b c (Å): 7.537 3.622 8.527
angles (deg): 90.00 99.86 90.00
Space group P2_1/m (No. 11)
Unique sites:
1 Sr 0.165 0.250 0.159 [2 per cell]
2 Th 0.357 0.750 0.837 [2 per cell]
3 Ru 0.045 0.250 0.611 [2 per cell]
4 N 0.123 0.250 0.848 [2 per cell]
5 N 0.156 0.750 0.575 [2 per cell]
6 N 0.425 0.750 0.120 [2 per cell]

No. 20
AlCu2NiH | PBE-GGA | relaxed

Output
Magnetic moment ... 0.0 Bohr magnetons per cell
Uncorrected energy ... -4.36 eV/atom

a b c (Å): 3.726 3.726 3.671
angles (deg): 90.00 90.00 90.00
Space group P4/mmm (No. 123)
Unique sites:
1 Al 0.000 0.000 0.000 [1 per cell]
2 Cu 0.000 0.500 0.500 [2 per cell]
3 Ni 0.500 0.500 0.000 [1 per cell]
4 H 0.500 0.500 0.500 [1 per cell]

No. 21
CaNd4Sm5 | PBE-GGA | relaxed

Output
Magnetic moment ... 0.0 Bohr magnetons per cell
Energy relative to the elements ... 28 meV per atom

a b c (Å): 3.680 3.680 25.956
angles (deg): 90.00 90.00 90.00
Space group P4/mmm (No. 123)
Unique sites:
1 Ca 0.000 0.000 0.000 [1 per cell]
2 Nd 0.000 0.000 0.202 [2 per cell]
3 Nd 0.000 0.000 0.401 [2 per cell]
4 Sm 0.500 0.500 0.107 [2 per cell]
5 Sm 0.500 0.500 0.302 [2 per cell]
6 Sm 0.500 0.500 0.500 [1 per cell]

No. 22
AgSbTe2 | PBE-GGA | relaxed

Output
Magnetic moment ... 0.0 Bohr magnetons per cell
Energy relative to the elements, uncorrected ... 0.054 eV/atom

a b c (Å): 6.083 6.083 6.151
angles (deg): 90.00 90.00 90.00
Space group P4/mmm (No. 123)
Unique sites:
1 Ag 0.000 0.500 0.000 [2 per cell]
2 Sb 0.000 0.000 0.000 [1 per cell]
3 Sb 0.000 0.000 0.500 [1 per cell]
4 Te 0.000 0.500 0.500 [2 per cell]
5 Te 0.500 0.500 0.000 [1 per cell]
6 Te 0.500 0.500 0.500 [1 per cell]

No. 23
Ta5Mo3 | PBE-GGA | relaxed

Output
Magnetic moment ... 0.0 Bohr magnetons per cell
Energy relative to the elements ... -129 meV per atom

a b c (Å): 3.235 6.493 13.114
angles (deg): 90.00 90.00 90.00
Space group Amm2 (No. 38)
Unique sites:
1 Ta 0.000 0.000 0.000 [2 per cell]
2 Ta 0.000 0.000 0.240 [2 per cell]
3 Ta 0.000 0.000 0.499 [2 per cell]
4 Ta 0.500 0.245 0.868 [4 per cell]
5 Mo 0.000 0.000 0.742 [2 per cell]
6 Mo 0.500 0.246 0.622 [4 per cell]

No. 24
Te2PbCl | PBE-GGA | relaxed

Output
Magnetic moment ... 0.0 Bohr magnetons per cell
Energy relative to the elements, uncorrected ... -0.297 eV/atom

a b c (Å): 3.895 5.396 8.222
angles (deg): 90.00 94.97 90.00
Space group Pm (No. 6)
Unique sites:
1 Te 0.000 0.000 0.000 [1 per cell]
2 Te 0.013 0.500 0.118 [1 per cell]
3 Pb 0.451 0.000 0.704 [1 per cell]
4 Cl 0.649 0.500 0.640 [1 per cell]

No. 25
Pr2Cu5Ni | PBE-GGA | relaxed

Output
Magnetic moment ... 0.0 Bohr magnetons per cell
Energy relative to the elements ... -138 meV per atom

a b c (Å): 4.140 15.504 8.897
angles (deg): 90.00 90.00 90.00
Space group Cmcm (No. 63)
Unique sites:
1 Pr 0.000 0.000 0.000 [4 per cell]
2 Pr 0.000 0.199 0.250 [4 per cell]
3 Cu 0.000 0.182 0.614 [8 per cell]
4 Cu 0.000 0.348 0.519 [8 per cell]
5 Cu 0.000 0.401 0.250 [4 per cell]
6 Ni 0.000 0.439 0.750 [4 per cell]